Record 1
Entry from Alexandria: BaCr4Fe after structural relaxation (PBE).

a b c (Å): 5.0770 5.0770 5.0770
angles (deg): 60.00 60.00 60.00
Closest atoms and distances in Å follow each position.
Element x y z (fractional)
Ba1 0.0000 0.0000 0.0000  12 Cr 2.98, 4 Fe 3.11
Cr1 0.8648 0.3784 0.3784  6 Cr 2.47-2.61
Cr2 0.3784 0.3784 0.8648  6 Cr 2.47-2.61
Cr3 0.3784 0.8648 0.3784  6 Cr 2.47-2.61
Cr4 0.3784 0.3784 0.3784  6 Cr 2.47-2.61
Fe1 0.7500 0.7500 0.7500  12 Cr 2.97, 4 Ba 3.11

Computed properties:
raw total energy	-42.24	eV per cell

***

Record 2
Entry from Alexandria: BaCr2Fe after structural relaxation (PBE).

a b c (Å): 3.2585 3.2638 8.0324
angles (deg): 66.15 90.00 90.00
Closest atoms and distances in Å follow each position.
Element x y z (fractional)
Ba1 0.5000 0.7500 0.7500  4 Ba 3.26, 8 Cr 3.55-3.56
Cr1 0.0000 0.8821 0.1179  1 Cr 1.94
Cr2 0.0000 0.6179 0.3821  1 Cr 1.94
Fe1 0.5000 0.2500 0.2500  8 Cr 2.50

Computed properties:
raw total energy	-26.44	eV per cell

***

Record 3
Entry from Alexandria: BaCr2Fe after structural relaxation (PBE).

a b c (Å): 4.0159 4.0159 6.4761
angles (deg): 71.95 71.95 59.84
Closest atoms and distances in Å follow each position.
Element x y z (fractional)
Ba1 0.7500 0.7500 0.7500  8 Cr 3.46-3.47, 6 Fe 3.81
Cr1 0.9413 0.9413 0.1761  3 Fe 2.36, 3 Cr 2.48-2.49
Cr2 0.5587 0.5587 0.3239  3 Fe 2.36, 3 Cr 2.48-2.49
Fe1 0.2500 0.2500 0.2500  6 Cr 2.36

Computed properties:
raw total energy	-26.84	eV per cell

***

no.,size of the total moment (μB/f.u.),E_form (eV per atom)
1,2.2,1.11
2,1.8,0.80
3,2.4,0.70